{"formula": "SmHoSc", "functional": "GGA-PBE", "state": "optimized geometry", "lattice_angstrom": [[-0.367, -3.031, 1.698], [-0.704, -1.607, -3.021], [7.630, 0.944, -0.260]], "species": ["Ho", "Sc", "Sm"], "fractional_positions": [[0.327, 0.327, 0.655], [0.668, 0.668, 0.336], [0.005, 0.005, 0.009]], "total_magnetization_mub_per_atom": 0.000, "formation_enthalpy_0k_ev_per_atom": 0.049, "sg": "I4mm (107)"}